{"formula": "KNi2Au", "functional": "PBE-GGA", "state": "relaxed", "crystal_system": "monoclinic", "delta_e_f_ev_per_atom": 0.4390, "vol_a3_per_cell": 80.5, "rho_g_cm3": 7.29, "dos_ef_per_ev_cell": 4.5, "relative_energy_mev_per_atom": 138, "lattice": [[-1.911, 1.967, 3.614], [1.854, -1.233, 1.651], [4.488, 4.643, -0.156]], "species": ["K", "Ni", "Ni", "Au"], "frac_coords": [[0.500, 0.750, 0.750], [0.000, 0.022, 0.099], [0.000, 0.478, 0.401], [0.500, 0.250, 0.250]]}

***

{"formula": "KNiAu2", "functional": "PBE-GGA", "state": "relaxed", "crystal_system": "orthorhombic", "delta_e_f_ev_per_atom": 0.2623, "vol_a3_per_cell": 82.2, "rho_g_cm3": 9.94, "dos_ef_per_ev_cell": 4.2, "relative_energy_mev_per_atom": 187, "lattice": [[-1.597, 4.274, 4.244], [0.835, -0.919, 6.106], [1.982, 0.785, -5.855]], "species": ["Au", "Au", "Ni", "K"], "frac_coords": [[0.222, 0.722, 0.500], [0.983, 0.983, 0.000], [0.784, 0.284, 0.500], [0.511, 0.511, 0.000]]}

***

{"formula": "KNiAu2", "functional": "PBE-GGA", "state": "relaxed", "crystal_system": "cubic", "delta_e_f_ev_per_atom": 0.4585, "vol_a3_per_cell": 81.6, "rho_g_cm3": 10.00, "dos_ef_per_ev_cell": 2.7, "relative_energy_mev_per_atom": 384, "lattice": [[4.228, -2.383, -0.397], [2.056, -1.984, 3.943], [0.123, -4.841, 0.506]], "species": ["Ni", "K", "Au", "Au"], "frac_coords": [[0.500, 0.500, 0.500], [0.000, 0.000, 0.000], [0.750, 0.750, 0.750], [0.250, 0.250, 0.250]]}

***

{"formula": "KNi2Au", "functional": "PBE-GGA", "state": "relaxed", "crystal_system": "orthorhombic", "delta_e_f_ev_per_atom": 0.6962, "vol_a3_per_cell": 70.6, "rho_g_cm3": 8.32, "dos_ef_per_ev_cell": 6.5, "relative_energy_mev_per_atom": 396, "lattice": [[2.740, 0.000, 0.000], [0.000, 5.205, 0.000], [0.000, 0.000, 4.947]], "species": ["Ni", "Ni", "Au", "K"], "frac_coords": [[0.500, 0.500, 0.000], [0.000, 0.000, 0.000], [0.500, 0.000, 0.500], [0.000, 0.500, 0.500]]}

***

{"formula": "KNiAu2", "functional": "PBE-GGA", "state": "relaxed", "crystal_system": "tetragonal", "delta_e_f_ev_per_atom": 0.1298, "vol_a3_per_cell": 241.1, "rho_g_cm3": 6.77, "dos_ef_per_ev_cell": 7.5, "relative_energy_mev_per_atom": 55, "lattice": [[-5.033, -0.929, 1.544], [1.654, -4.200, 2.865], [-0.561, 2.445, 8.897]], "species": ["Ni", "Ni", "Au", "Au", "Au", "Au", "K", "K"], "frac_coords": [[0.000, 0.000, 0.000], [0.750, 0.250, 0.500], [0.375, 0.125, 0.750], [0.875, 0.125, 0.250], [0.875, 0.125, 0.750], [0.875, 0.625, 0.250], [0.500, 0.500, 0.000], [0.250, 0.750, 0.500]]}

***

{"formula": "KNi2Au", "functional": "PBE-GGA", "state": "relaxed", "crystal_system": "monoclinic", "delta_e_f_ev_per_atom": 0.3837, "vol_a3_per_cell": 82.2, "rho_g_cm3": 7.14, "dos_ef_per_ev_cell": 4.4, "relative_energy_mev_per_atom": 83, "lattice": [[-0.382, -3.988, 2.617], [-0.165, -4.780, -0.135], [6.191, -1.069, 0.795]], "species": ["Ni", "Ni", "K", "Au"], "frac_coords": [[0.018, 0.018, 0.889], [0.482, 0.482, 0.611], [0.250, 0.250, 0.250], [0.750, 0.750, 0.750]]}